# 1
The following is a PBE calculation of a relaxed MnNiS2N crystal, from the Alexandria database.

Lattice parameters (Å, degrees): 4.6160 4.6160 3.4175 90.00 90.00 90.00
Closest atoms and distances in Å follow each position.
Fractional positions:
1 Mn 0.0000 0.0000 0.0000  2 N 1.71
2 Ni 0.5000 0.5000 0.5000  8 S 2.87
3 S 0.0000 0.5000 0.0000  2 Mn 2.31
4 S 0.5000 0.0000 0.0000  2 Mn 2.31
5 N 0.0000 0.0000 0.5000  2 Mn 1.71

Its offset from the most stable computed form is 0 meV per atom. Its space-group type is P4/mmm, No. 123. As for the uncorrected formation energy: 0.489 eV/atom. The total energy comes out at -5.817 eV per atom. As for the calculated volume: 14.6 A^3/atom.

---

# 2
The following is a PBE calculation of a relaxed Ni2MoAu crystal, from the Alexandria database.

Lattice parameters (Å, degrees): 4.7865 4.7865 4.7865 134.49 134.49 66.32
Closest atoms and distances in Å follow each position.
Fractional positions:
1 Ni 0.0000 0.0000 0.0000  4 Mo 2.62, 4 Ni 2.73, 4 Au 2.73
2 Ni 0.7500 0.2500 0.5000  4 Au 2.62, 4 Mo 2.73, 4 Ni 2.73
3 Mo 0.5000 0.5000 0.0000  8 Ni 2.62-2.73, 4 Au 2.73
4 Au 0.2500 0.7500 0.5000  8 Ni 2.62-2.73, 4 Mo 2.73

Its space-group type is I-4m2, No. 119. For the energy of formation from the pure elements, the calculation gives 0.150 eV per atom. The total energy comes out at -6.268 eV per atom. As for the calculated volume: 13.7 A^3/atom.

---

# 3
The following is a PBE calculation of a relaxed Cs3PmCu2Br9 crystal, from the Alexandria database.

Lattice parameters (Å, degrees): 7.7628 7.7628 9.6079 90.00 90.00 120.00
Closest atoms and distances in Å follow each position.
Fractional positions:
1 Cs 0.0000 0.0000 0.0000  12 Br 3.88-3.90
2 Cs 0.3333 0.6667 0.6760  12 Br 3.84-4.00
3 Cs 0.6667 0.3333 0.3240  12 Br 3.84-4.00
4 Pm 0.0000 0.0000 0.5000  6 Br 2.87
5 Cu 0.3333 0.6667 0.1326  6 Br 2.58-2.84
6 Cu 0.6667 0.3333 0.8674  6 Br 2.58-2.84
7 Br 0.0000 0.5000 0.0000  2 Cu 2.58
8 Br 0.1731 0.3462 0.3257  1 Cu 2.84, 1 Pm 2.87
9 Br 0.1731 0.8269 0.3257  1 Cu 2.84, 1 Pm 2.87
10 Br 0.3462 0.1731 0.6743  1 Cu 2.84, 1 Pm 2.87
11 Br 0.5000 0.0000 0.0000  2 Cu 2.58
12 Br 0.5000 0.5000 0.0000  2 Cu 2.58
13 Br 0.6538 0.8269 0.3257  1 Cu 2.84, 1 Pm 2.87
14 Br 0.8269 0.1731 0.6743  1 Cu 2.84, 1 Pm 2.87
15 Br 0.8269 0.6538 0.6743  1 Cu 2.84, 1 Pm 2.87

Its space-group type is P-3m1, No. 164. As for the uncorrected formation energy: -1.308 eV/atom. The total energy comes out at -3.345 eV per atom. As for the calculated volume: 33.4 A^3/atom.

---

# 4
The following is a PBE calculation of a relaxed K3LiBr4 crystal, from the Alexandria database.

Lattice parameters (Å, degrees): 10.8548 8.9465 6.6682 90.00 90.00 90.00
Closest atoms and distances in Å follow each position.
Fractional positions:
1 K 0.0000 0.1440 0.0000  5 Br 3.13-3.37
2 K 0.2363 0.3298 0.5016  5 Br 3.09-3.41
3 K 0.2637 0.6702 0.0016  5 Br 3.09-3.41
4 K 0.5000 0.8560 0.5000  5 Br 3.13-3.37
5 K 0.7363 0.6702 0.0016  5 Br 3.09-3.41
6 K 0.7637 0.3298 0.5016  5 Br 3.09-3.41
7 Li 0.0000 0.8203 0.4312  4 Br 2.56-2.68
8 Li 0.5000 0.1797 0.9312  4 Br 2.56-2.68
9 Br 0.0000 0.1099 0.5037  1 Li 2.64
10 Br 0.0000 0.7962 0.0488  1 Li 2.56
11 Br 0.2193 0.6946 0.5070  1 Li 2.68
12 Br 0.2807 0.3054 0.0070  1 Li 2.68
13 Br 0.5000 0.2038 0.5488  1 Li 2.56
14 Br 0.5000 0.8901 0.0037  1 Li 2.64
15 Br 0.7193 0.3054 0.0070  1 Li 2.68
16 Br 0.7807 0.6946 0.5070  1 Li 2.68

Its offset from the most stable computed form is 8 meV per atom. Its space-group type is Pmn2_1, No. 31. As for the uncorrected formation energy: -1.638 eV/atom. The total energy comes out at -3.126 eV per atom. As for the calculated volume: 40.5 A^3/atom.

---

# 5
The following is a PBE calculation of a relaxed ThHPt3 crystal, from the Alexandria database.

Lattice parameters (Å, degrees): 4.3115 4.3115 4.3115 90.00 90.00 90.00
Closest atoms and distances in Å follow each position.
Fractional positions:
1 Th 0.0000 0.0000 0.0000  12 Pt 3.05
2 H 0.5000 0.5000 0.5000  6 Pt 2.16
3 Pt 0.0000 0.5000 0.5000  2 H 2.16
4 Pt 0.5000 0.0000 0.5000  2 H 2.16
5 Pt 0.5000 0.5000 0.0000  2 H 2.16

Its space-group type is Pm-3m, No. 221. The total energy comes out at -6.383 eV per atom. As for the calculated volume: 16.0 A^3/atom.

---

# 6
The following is a PBE calculation of a relaxed Pr5Sn4 crystal, from the Alexandria database.

Lattice parameters (Å, degrees): 6.3724 6.3724 10.9761 111.49 111.49 43.89
Closest atoms and distances in Å follow each position.
Fractional positions:
1 Pr 0.0000 0.0000 0.0000  4 Sn 3.18
2 Pr 0.0930 0.0930 0.3890  7 Sn 3.22-3.59
3 Pr 0.2500 0.2500 0.8352  6 Sn 3.31-3.53, 2 Pr 3.67
4 Pr 0.7500 0.7500 0.1648  6 Sn 3.31-3.53, 2 Pr 3.67
5 Pr 0.9070 0.9070 0.6110  7 Sn 3.22-3.59
6 Sn 0.3659 0.3659 0.3899  2 Sn 3.02-3.14, 5 Pr 3.22-3.31
7 Sn 0.4511 0.4511 0.1643  1 Sn 3.02, 6 Pr 3.18-3.37
8 Sn 0.5489 0.5489 0.8357  1 Sn 3.02, 6 Pr 3.18-3.37
9 Sn 0.6341 0.6341 0.6101  2 Sn 3.02-3.14, 5 Pr 3.22-3.31

Its space-group type is C2/m, No. 12. For the energy of formation from the pure elements, the calculation gives -0.727 eV per atom. The total energy comes out at -5.161 eV per atom. As for the calculated volume: 31.5 A^3/atom.

---

# 7
The following is a PBE calculation of a relaxed YMg2Bi2 crystal, from the Alexandria database.

Lattice parameters (Å, degrees): 8.1781 8.1781 8.1781 149.51 149.51 43.66
Closest atoms and distances in Å follow each position.
Fractional positions:
1 Y 0.0000 0.0000 0.0000  8 Bi 3.46
2 Mg 0.2500 0.7500 0.5000  4 Bi 3.03, 4 Mg 3.04
3 Mg 0.7500 0.2500 0.5000  4 Bi 3.03, 4 Mg 3.04
4 Bi 0.3909 0.3909 0.0000  4 Mg 3.03, 1 Bi 3.31
5 Bi 0.6091 0.6091 0.0000  4 Mg 3.03, 1 Bi 3.31

Its space-group type is I4/mmm, No. 139. For the energy of formation from the pure elements, the calculation gives -0.280 eV per atom. The total energy comes out at -3.763 eV per atom. As for the calculated volume: 28.1 A^3/atom.

---

# 8
The following is a PBE calculation of a relaxed Ho4Sb2Ru crystal, from the Alexandria database.

Lattice parameters (Å, degrees): 7.4294 7.4294 7.2375 118.03 118.03 34.74
Closest atoms and distances in Å follow each position.
Fractional positions:
1 Ho 0.0951 0.0951 0.2841  2 Ru 2.87, 3 Sb 3.07-3.13
2 Ho 0.3803 0.3803 0.2390  1 Ru 2.96, 3 Sb 2.98-3.06
3 Ho 0.6197 0.6197 0.7610  1 Ru 2.96, 3 Sb 2.98-3.06
4 Ho 0.9049 0.9049 0.7159  2 Ru 2.87, 3 Sb 3.07-3.13
5 Sb 0.2699 0.2699 0.7666  1 Ru 2.84, 6 Ho 2.98-3.13
6 Sb 0.7301 0.7301 0.2334  1 Ru 2.84, 6 Ho 2.98-3.13
7 Ru 0.5000 0.5000 0.0000  2 Sb 2.84, 6 Ho 2.87-2.96

Its space-group type is C2/m, No. 12. As for the uncorrected formation energy: -0.597 eV/atom. The total energy comes out at -5.716 eV per atom. As for the calculated volume: 28.3 A^3/atom.

---

Number 1: DOS(E_F) 0.692 states/eV/atom. Number 2: DOS(E_F) 0.825 states/eV/atom. Number 3: DOS(E_F) 0.270 states/eV/atom. Number 4: DOS(E_F) 0.000 states/eV/atom. Number 5: DOS(E_F) 0.874 states/eV/atom. Number 6: DOS(E_F) 0.660 states/eV/atom. Number 7: DOS(E_F) 0.749 states/eV/atom. Number 8: DOS(E_F) 0.744 states/eV/atom.